PBE Pu6Pd2Rh, relaxed; formation enthalpy at 0 K = -0.16 eV/atom; E above lowest polymorph = 0.0451 eV/atom; space-group type = C2/m
1.0
-2.398 3.700 3.059
-2.972 -6.063 5.004
6.276 0.537 -2.680
Pu Pd Rh
6 2 1
Cartesian
-0.534 -1.578 2.685
2.342 1.593 1.178
1.440 -0.248 2.698
-1.789 0.647 2.522
-1.436 -3.420 4.205
-3.581 -3.010 5.541
-1.780 -0.656 5.206
2.686 -1.170 0.178
0.000 0.000 0.000


PBE YMn2, relaxed; formation enthalpy at 0 K = 0.40 eV/atom; space-group type = Cmcm
1.0
1.628 -7.544 0.000
1.628 7.544 0.000
0.000 0.000 4.782
Y Mn
2 4
Cartesian
1.628 1.552 3.586
1.628 -1.552 1.195
1.628 -3.363 3.586
1.628 -6.572 1.195
1.628 6.572 3.586
1.628 3.363 1.195


PBE ZnRu3Cl, relaxed; formation energy from raw total energies = 1.762 eV per atom; E above lowest polymorph = 0.7144 eV/atom; space-group type = Pm-3m
1.0
4.700 0.000 0.000
0.000 4.700 0.000
0.000 0.000 4.700
Ru Zn Cl
3 1 1
Cartesian
0.000 2.350 0.000
0.000 0.000 2.350
2.350 0.000 0.000
0.000 0.000 0.000
2.350 2.350 2.350


PBE MnCo2P, relaxed; formation enthalpy at 0 K = -0.18 eV/atom; space-group type = I-4m2
1.0
4.269 0.135 0.000
1.296 4.070 0.000
-2.783 -2.103 2.466
Co Mn P
2 1 1
Cartesian
0.000 0.000 0.000
0.648 2.035 1.233
2.783 2.103 0.000
2.135 0.068 1.233


PBE Ca2SCl, relaxed; formation energy from raw total energies = -1.815 eV per atom; E above lowest polymorph = 0.0245 eV/atom; space-group type = R3m
1.0
-1.007 -3.662 1.252
2.807 -2.471 1.415
-0.477 0.504 7.475
Ca S Cl
2 1 1
Cartesian
-0.242 -0.051 6.041
0.371 -1.503 2.289
0.739 -3.620 9.161
0.641 -2.765 5.199


PBE RbBeSn3, relaxed; formation enthalpy at 0 K = 0.25 eV/atom; space-group type = Pm-3m
1.0
-1.770 4.164 2.571
-4.567 -2.388 0.722
1.758 -2.011 4.466
Be Sn Rb
1 3 1
Cartesian
0.000 0.000 0.000
-2.284 -1.194 0.361
0.879 -1.005 2.233
-0.885 2.082 1.286
-2.290 -0.118 3.880


Number 1: electronic total energy -11.68 eV/atom. Number 2: electronic total energy -7.87 eV/atom. Number 3: electronic total energy -4.43 eV/atom. Number 4: electronic total energy -7.38 eV/atom. Number 5: electronic total energy -4.31 eV/atom. Number 6: electronic total energy -3.09 eV/atom.